Density functional theory data (PBE) for crystalline CeSm3Th2Se6 at its relaxed geometry.

Cell: 7.209 12.449 7.343 Å, 90.00 109.03 90.00°
Space group C2/m (No. 12)
Inequivalent atoms, fractional coordinates:
Ce 0.000 0.000 0.000 x2
Sm 0.000 0.168 0.500 x4
Sm 0.000 0.500 0.500 x2
Th 0.000 0.334 0.000 x4
Se 0.247 0.000 0.744 x4
Se 0.249 0.334 0.745 x8

Values from the calculation:
The total energy is -6.37 eV per atom.